Record 1
Here is crystalline YCr2TcH at its relaxed geometry from the Alexandria database. Energies are from PBE.

abc: 4.665 4.665 4.869
angles: 90.00 90.00 90.00
Fractional coordinates of all 5 atoms:
Y  0.000  0.000  0.000
Cr  0.000  0.500  0.000
Cr  0.500  0.000  0.000
Tc  0.000  0.000  0.500
H  0.500  0.500  0.500

E_tot, eV/atom: -4.75

---

Record 2
Here is crystalline LaTlHg2N at its relaxed geometry from the Alexandria database. Energies are from PBE.

abc: 5.775 5.775 4.207
angles: 90.00 90.00 90.00
Fractional coordinates of all 5 atoms:
La  0.000  0.000  0.000
Tl  0.500  0.500  0.500
Hg  0.000  0.500  0.500
Hg  0.500  0.000  0.500
N  0.500  0.500  0.000

Distance to the lowest polymorph of the same formula, meV per atom: 0

---

Record 3
Here is crystalline YTlCl2F at its relaxed geometry from the Alexandria database. Energies are from PBE.

abc: 5.472 5.472 4.408
angles: 90.00 90.00 90.00
Fractional coordinates of all 5 atoms:
Y  0.000  0.000  0.000
Tl  0.500  0.500  0.500
Cl  0.000  0.500  0.000
Cl  0.500  0.000  0.000
F  0.000  0.000  0.500

E_tot, eV/atom: -4.86

---

Record 4
Here is crystalline TbZrAlAg at its relaxed geometry from the Alexandria database. Energies are from PBE.

abc: 5.007 5.007 5.007
angles: 60.00 60.00 60.00
Fractional coordinates of all 4 atoms:
Tb  0.000  0.000  0.000
Zr  0.500  0.500  0.500
Al  0.750  0.750  0.750
Ag  0.250  0.250  0.250

ΔH_f (0 K), eV per atom: -0.200

---

Record 5
Here is crystalline Sr2PH at its relaxed geometry from the Alexandria database. Energies are from PBE.

abc: 7.282 7.891 7.137
angles: 90.00 103.26 90.00
Fractional coordinates of all 16 atoms:
Sr  0.071  0.124  0.270
Sr  0.071  0.376  0.770
Sr  0.419  0.739  0.485
Sr  0.419  0.761  0.985
Sr  0.581  0.239  0.015
Sr  0.581  0.261  0.515
Sr  0.929  0.624  0.230
Sr  0.929  0.876  0.730
P  0.299  0.061  0.689
P  0.299  0.439  0.189
P  0.701  0.561  0.811
P  0.701  0.939  0.311
H  0.142  0.653  0.633
H  0.142  0.847  0.133
H  0.858  0.153  0.867
H  0.858  0.347  0.367

Distance to the lowest polymorph of the same formula, meV per atom: 0

---

Record 6
Here is crystalline ScTlSn at its relaxed geometry from the Alexandria database. Energies are from PBE.

abc: 5.072 5.072 3.390
angles: 90.00 90.00 120.00
Fractional coordinates of all 3 atoms:
Sc  0.000  0.000  0.000
Tl  0.667  0.333  0.318
Sn  0.333  0.667  0.619

Distance to the lowest polymorph of the same formula, meV per atom: 141
ΔH_f (0 K), eV per atom: -0.141

---

Record 7
Here is crystalline RuPt at its relaxed geometry from the Alexandria database. Energies are from PBE.

abc: 9.220 9.220 9.220
angles: 17.13 17.13 17.13
Fractional coordinates of all 4 atoms:
Ru  0.129  0.129  0.129
Ru  0.871  0.871  0.871
Pt  0.378  0.378  0.378
Pt  0.622  0.622  0.622

ΔH_f (0 K), eV per atom: -0.008

---

Record 8
Here is crystalline CuSeS at its relaxed geometry from the Alexandria database. Energies are from PBE.

abc: 5.994 5.994 5.994
angles: 90.00 90.00 90.00
Fractional coordinates of all 12 atoms:
Cu  0.013  0.013  0.013
Cu  0.487  0.987  0.513
Cu  0.513  0.487  0.987
Cu  0.987  0.513  0.487
Se  0.109  0.609  0.891
Se  0.391  0.391  0.391
Se  0.609  0.891  0.109
Se  0.891  0.109  0.609
S  0.104  0.896  0.396
S  0.396  0.104  0.896
S  0.604  0.604  0.604
S  0.896  0.396  0.104

Distance to the lowest polymorph of the same formula, meV per atom: 1

---

Record 9
Here is crystalline Dy12Y5Ho2 at its relaxed geometry from the Alexandria database. Energies are from PBE.

abc: 9.135 9.135 8.527
angles: 91.10 91.10 59.96
Fractional coordinates of all 19 atoms:
Dy  0.057  0.057  0.337
Dy  0.067  0.680  0.336
Dy  0.164  0.528  0.757
Dy  0.320  0.933  0.664
Dy  0.409  0.409  0.114
Dy  0.472  0.836  0.243
Dy  0.528  0.164  0.757
Dy  0.591  0.591  0.886
Dy  0.680  0.067  0.336
Dy  0.836  0.472  0.243
Dy  0.933  0.320  0.664
Dy  0.943  0.943  0.663
Y  0.199  0.199  0.011
Y  0.267  0.267  0.427
Y  0.500  0.500  0.500
Y  0.733  0.733  0.573
Y  0.801  0.801  0.989
Ho  0.178  0.822  0.000
Ho  0.822  0.178  0.000

Distance to the lowest polymorph of the same formula, meV per atom: 6
ΔH_f (0 K), eV per atom: 0.123

---

Record 10
Here is crystalline FeP2Se at its relaxed geometry from the Alexandria database. Energies are from PBE.

abc: 3.711 3.785 5.123
angles: 90.00 103.25 90.00
Fractional coordinates of all 4 atoms:
Fe  0.000  0.000  0.000
P  0.540  0.000  0.288
P  0.765  0.500  0.107
Se  0.222  0.500  0.760

E_tot, eV/atom: -5.57

---

Record 11
Here is crystalline MnPSeSN at its relaxed geometry from the Alexandria database. Energies are from PBE.

abc: 5.318 2.806 6.735
angles: 90.00 97.42 90.00
Fractional coordinates of all 5 atoms:
Mn  0.000  0.000  0.000
P  0.451  0.500  0.298
Se  0.106  0.500  0.748
S  0.693  0.500  0.029
N  0.275  0.000  0.217

Distance to the lowest polymorph of the same formula, meV per atom: 45

---

Record 12
Here is crystalline KScGa2W at its relaxed geometry from the Alexandria database. Energies are from PBE.

abc: 5.383 5.383 4.881
angles: 90.00 90.00 90.00
Fractional coordinates of all 5 atoms:
K  0.000  0.000  0.000
Sc  0.500  0.500  0.500
Ga  0.000  0.500  0.500
Ga  0.500  0.000  0.500
W  0.500  0.500  0.000

ΔH_f (0 K), eV per atom: 1.063

---

Record 13
Here is crystalline InBiRh2 at its relaxed geometry from the Alexandria database. Energies are from PBE.

abc: 7.351 7.351 7.351
angles: 131.18 131.18 71.53
Fractional coordinates of all 8 atoms:
In  0.000  0.000  0.000
In  0.750  0.250  0.500
Bi  0.250  0.750  0.500
Bi  0.500  0.500  0.000
Rh  0.124  0.625  0.999
Rh  0.375  0.374  0.499
Rh  0.626  0.125  0.001
Rh  0.875  0.876  0.501

ΔH_f (0 K), eV per atom: 0.371

---

Record 14
Here is crystalline PuTi2Pd at its relaxed geometry from the Alexandria database. Energies are from PBE.

abc: 3.147 3.147 7.236
angles: 90.00 90.00 90.00
Fractional coordinates of all 4 atoms:
Pu  0.000  0.000  0.000
Ti  0.500  0.500  0.276
Ti  0.500  0.500  0.724
Pd  0.000  0.000  0.500

Distance to the lowest polymorph of the same formula, meV per atom: 0
ΔH_f (0 K), eV per atom: -0.198

---

Record 15
Here is crystalline Sm2DyY2Er4 at its relaxed geometry from the Alexandria database. Energies are from PBE.

abc: 9.472 9.472 9.520
angles: 115.25 115.25 21.80
Fractional coordinates of all 9 atoms:
Sm  0.166  0.166  0.001
Sm  0.834  0.834  0.999
Dy  0.500  0.500  0.000
Y  0.353  0.353  0.337
Y  0.647  0.647  0.663
Er  0.019  0.019  0.334
Er  0.315  0.315  0.664
Er  0.685  0.685  0.336
Er  0.981  0.981  0.666

ΔH_f (0 K), eV per atom: -0.003

---

Record 16
Here is crystalline Pr8Ir3RuCl4 at its relaxed geometry from the Alexandria database. Energies are from PBE.

abc: 9.005 9.005 9.005
angles: 54.70 54.70 54.70
Fractional coordinates of all 16 atoms:
Pr  0.234  0.234  0.234
Pr  0.239  0.733  0.733
Pr  0.267  0.267  0.761
Pr  0.267  0.761  0.267
Pr  0.733  0.239  0.733
Pr  0.733  0.733  0.239
Pr  0.761  0.267  0.267
Pr  0.766  0.766  0.766
Ir  0.000  0.000  0.500
Ir  0.000  0.500  0.000
Ir  0.500  0.000  0.000
Ru  0.500  0.500  0.500
Cl  0.000  0.000  0.000
Cl  0.000  0.500  0.500
Cl  0.500  0.000  0.500
Cl  0.500  0.500  0.000

E_tot, eV/atom: -6.20

---

Record 17
Here is crystalline BaCuOF2 at its relaxed geometry from the Alexandria database. Energies are from PBE.

abc: 4.256 4.256 3.903
angles: 90.00 90.00 90.00
Fractional coordinates of all 5 atoms:
Ba  0.000  0.000  0.000
Cu  0.500  0.500  0.500
O  0.500  0.500  0.000
F  0.000  0.500  0.500
F  0.500  0.000  0.500

Distance to the lowest polymorph of the same formula, meV per atom: 0

---

Record 18
Here is crystalline LaY2CdIr at its relaxed geometry from the Alexandria database. Energies are from PBE.

abc: 5.454 5.454 5.507
angles: 90.00 90.00 90.00
Fractional coordinates of all 5 atoms:
La  0.000  0.000  0.000
Y  0.000  0.500  0.500
Y  0.500  0.000  0.500
Cd  0.500  0.500  0.000
Ir  0.000  0.000  0.500

ΔH_f (0 K), eV per atom: -0.338

---

Record 19
Here is crystalline TcSnTeN2 at its relaxed geometry from the Alexandria database. Energies are from PBE.

abc: 4.098 4.098 6.282
angles: 90.00 90.00 90.00
Fractional coordinates of all 5 atoms:
Tc  0.000  0.000  0.000
Sn  0.500  0.500  0.500
Te  0.500  0.500  0.000
N  0.000  0.500  0.500
N  0.500  0.000  0.500

Distance to the lowest polymorph of the same formula, meV per atom: 987

---

Record 20
Here is crystalline CaLaAg4 at its relaxed geometry from the Alexandria database. Energies are from PBE.

abc: 9.372 9.372 9.372
angles: 154.20 154.20 36.81
Fractional coordinates of all 6 atoms:
Ca  0.000  0.000  0.000
La  0.750  0.250  0.500
Ag  0.172  0.672  0.500
Ag  0.328  0.828  0.500
Ag  0.424  0.424  0.000
Ag  0.576  0.576  0.000

Distance to the lowest polymorph of the same formula, meV per atom: 75
ΔH_f (0 K), eV per atom: -0.213

---

Record 21
Here is crystalline Ca2TeSe at its relaxed geometry from the Alexandria database. Energies are from PBE.

abc: 4.409 7.015 7.015
angles: 34.68 90.00 90.00
Fractional coordinates of all 4 atoms:
Ca  0.000  0.000  0.000
Ca  0.500  0.283  0.283
Te  0.500  0.534  0.534
Se  0.000  0.787  0.787

Distance to the lowest polymorph of the same formula, meV per atom: 163

---

Record 22
Here is crystalline ZnCo2Mo at its relaxed geometry from the Alexandria database. Energies are from PBE.

abc: 4.696 4.696 4.696
angles: 135.73 135.73 64.40
Fractional coordinates of all 4 atoms:
Zn  0.000  0.000  0.000
Co  0.500  0.500  0.000
Co  0.750  0.250  0.500
Mo  0.250  0.750  0.500

ΔH_f (0 K), eV per atom: 0.098

---

Record 23
Here is crystalline Rb2SrCaI at its relaxed geometry from the Alexandria database. Energies are from PBE.

abc: 8.283 8.283 6.223
angles: 90.00 90.00 90.00
Fractional coordinates of all 5 atoms:
Rb  0.000  0.500  0.000
Rb  0.500  0.000  0.000
Sr  0.000  0.000  0.000
Ca  0.500  0.500  0.500
I  0.000  0.000  0.500

E_tot, eV/atom: -1.44

---

Record 24
Here is crystalline Li4Nb3ReN8 at its relaxed geometry from the Alexandria database. Energies are from PBE.

abc: 6.234 6.234 6.234
angles: 58.68 58.68 58.68
Fractional coordinates of all 16 atoms:
Li  0.000  0.000  0.000
Li  0.000  0.500  0.500
Li  0.500  0.000  0.500
Li  0.500  0.500  0.000
Nb  0.000  0.000  0.500
Nb  0.000  0.500  0.000
Nb  0.500  0.000  0.000
Re  0.500  0.500  0.500
N  0.242  0.242  0.242
N  0.250  0.738  0.738
N  0.262  0.262  0.750
N  0.262  0.750  0.262
N  0.738  0.250  0.738
N  0.738  0.738  0.250
N  0.750  0.262  0.262
N  0.758  0.758  0.758

E_tot, eV/atom: -7.97

---

Record 25
Here is crystalline TlC at its relaxed geometry from the Alexandria database. Energies are from PBE.

abc: 5.572 3.909 6.629
angles: 90.00 90.00 90.00
Fractional coordinates of all 8 atoms:
Tl  0.241  0.250  0.067
Tl  0.259  0.750  0.567
Tl  0.741  0.250  0.433
Tl  0.759  0.750  0.933
C  0.153  0.750  0.236
C  0.347  0.250  0.736
C  0.653  0.750  0.264
C  0.847  0.250  0.764

Distance to the lowest polymorph of the same formula, meV per atom: 1267
ΔH_f (0 K), eV per atom: 2.051

---

Record 26
Here is crystalline Ce2SmGaCo at its relaxed geometry from the Alexandria database. Energies are from PBE.

abc: 4.898 4.898 5.523
angles: 90.00 90.00 90.00
Fractional coordinates of all 5 atoms:
Ce  0.000  0.500  0.000
Ce  0.500  0.000  0.000
Sm  0.000  0.000  0.501
Ga  0.500  0.500  0.503
Co  0.000  0.000  0.001

ΔH_f (0 K), eV per atom: -0.175